1.
Compound: Ca4Mg3Zn2
Source: Alexandria
Functional: SCAN
Structure: PBEsol geometry

ΔE_f = -0.1426 eV per atom

Structure (CIF):
```
data_Ca4Mg3Zn2
_space_group_name_H-M_alt 'P 1'
_space_group_IT_number 1
_space_group_name_Hall 'P 1'
_cell_length_a 4.373
_cell_length_b 7.480
_cell_length_c 8.333
_cell_angle_alpha 107.38
_cell_angle_beta 105.21
_cell_angle_gamma 90.00
loop_
_atom_site_label
_atom_site_fract_x
_atom_site_fract_y
_atom_site_fract_z
Mg1 0.000 0.500 0.000
Mg2 0.907 0.799 0.814
Mg3 0.093 0.201 0.186
Ca1 0.420 0.146 0.840
Ca2 0.769 0.309 0.538
Ca3 0.580 0.854 0.160
Ca4 0.231 0.691 0.462
Zn1 0.604 0.453 0.209
Zn2 0.396 0.547 0.791
```

2.
Compound: Ca2MgZn
Source: Alexandria
Functional: SCAN
Structure: PBEsol geometry

ΔE_f = -0.1287 eV per atom
distance to the lowest polymorph of the same formula = 1.6 kJ/mol of atoms

Structure (CIF):
```
data_Ca2MgZn
_space_group_name_H-M_alt 'P 1'
_space_group_IT_number 1
_space_group_name_Hall 'P 1'
_cell_length_a 3.809
_cell_length_b 5.302
_cell_length_c 5.302
_cell_angle_alpha 90.12
_cell_angle_beta 90.00
_cell_angle_gamma 90.00
loop_
_atom_site_label
_atom_site_fract_x
_atom_site_fract_y
_atom_site_fract_z
Mg1 0.500 0.000 0.000
Zn1 0.500 0.500 0.500
Ca1 0.000 0.000 0.500
Ca2 0.000 0.500 0.000
```